Entry 1:
An optimized crystal structure of DyErGa4Ir2, computed with PBE.

Cell: 4.1636 7.0680 5.4578 Å, 90.00 112.31 90.00°
Atoms (fractional coordinates):
Ga 0.6421 0.3020 0.2866
Ga 0.3582 0.8005 0.7141
Ir 0.7874 0.0000 0.5719
Ga 0.3582 0.1995 0.7141
Dy 0.0713 0.0000 0.1418
Ga 0.6421 0.6980 0.2866
Er 0.9285 0.5000 0.8575
Ir 0.2121 0.5000 0.4275

Values from the calculation:
As for the space group: Pm (6). Its calculated volume is 18.6 Å³ per atom.

---

Entry 2:
An optimized crystal structure of CoBiCl6, computed with PBE.

Cell: 6.5163 6.5163 6.3395 Å, 99.86 99.86 119.99°
Atoms (fractional coordinates):
Cl 0.6146 0.9472 0.2334
Cl 0.4578 0.0888 0.7633
Cl 0.9112 0.5422 0.2367
Cl 0.7547 0.7909 0.7637
Cl 0.0528 0.3854 0.7666
Bi 0.1660 0.8340 0.0000
Co 0.8339 0.1661 0.0000
Cl 0.2091 0.2453 0.2363

Values from the calculation:
As for the space group: C2 (5). Its calculated volume is 27.4 Å³ per atom.

---

Entry 3:
An optimized crystal structure of TmGePd2, computed with PBE.

Cell: 7.2824 7.1510 5.5788 Å, 90.00 90.00 90.00°
Atoms (fractional coordinates):
Ge 0.1181 0.7500 0.1420
Tm 0.5265 0.2500 0.1437
Ge 0.3819 0.2500 0.6420
Ge 0.6181 0.7500 0.3580
Tm 0.0265 0.2500 0.3563
Pd 0.1854 0.0507 0.9137
Pd 0.3146 0.9493 0.4137
Pd 0.8146 0.5507 0.0863
Tm 0.9735 0.7500 0.6437
Pd 0.1854 0.4493 0.9137
Pd 0.3146 0.5507 0.4137
Pd 0.6854 0.4493 0.5863
Pd 0.8146 0.9493 0.0863
Tm 0.4735 0.7500 0.8563
Pd 0.6854 0.0507 0.5863
Ge 0.8819 0.2500 0.8580

Values from the calculation:
As for the space group: Pnma (62). Its calculated volume is 18.2 Å³ per atom.

---

Entry 4:
An optimized crystal structure of SiTcPt2, computed with PBE.

Cell: 4.3755 4.3755 4.3755 Å, 60.00 60.00 60.00°
Atoms (fractional coordinates):
Pt 0.0000 0.0000 0.0000
Si 0.5000 0.5000 0.5000
Pt 0.7500 0.7500 0.7500
Tc 0.2500 0.2500 0.2500

Values from the calculation:
As for the space group: F-43m (216). Its calculated volume is 14.8 Å³ per atom.

---

Entry 5:
An optimized crystal structure of NaReB4, computed with PBE.

Cell: 2.9751 2.9751 7.6171 Å, 90.00 90.00 120.00°
Atoms (fractional coordinates):
B 0.6667 0.3333 0.2212
B 0.6667 0.3333 0.7788
B 0.3333 0.6667 0.2212
B 0.3333 0.6667 0.7788
Na 0.0000 0.0000 0.5000
Re 0.0000 0.0000 0.0000

Values from the calculation:
The energy above the most stable polymorph in this dataset is 0 meV/atom. As for the space group: P6/mmm (191). Its calculated volume is 9.7 Å³ per atom.

---

Entry 6:
An optimized crystal structure of DyTmAl2, computed with PBE.

Cell: 5.0208 6.5230 6.5230 Å, 60.91 90.00 90.00°
Atoms (fractional coordinates):
Dy 0.5000 0.6636 0.6636
Al 0.0000 0.8407 0.8407
Tm 0.5000 0.6869 0.1548
Al 0.0000 0.2917 0.8653
Dy 0.0000 0.3332 0.3332
Tm 0.5000 0.1548 0.6869
Al 0.0000 0.8653 0.2917
Al 0.5000 0.1639 0.1639

Values from the calculation:
The energy above the most stable polymorph in this dataset is 181 meV/atom. As for the space group: Amm2 (38). Its calculated volume is 23.3 Å³ per atom.

---

Calculated values (hartree per atom) of total energy for the records, taken in order: -0.207 -0.127 -0.212 -0.259 -0.246 -0.160.